Entry 1:
## PaAlPd (PBE)

Data for crystalline PaAlPd at its relaxed geometry.

Structure (POSCAR):
```
PaAlPd
1.0
3.9985 0.0000 0.0000
0.0000 3.9985 0.0000
0.0000 0.0000 7.4101
Pa Pd Al
2 2 2
direct
0.0000 0.0000 0.5000
0.5000 0.5000 0.5000
0.5000 0.0000 0.8239
0.0000 0.5000 0.1761
0.0000 0.5000 0.8416
0.5000 0.0000 0.1584
```

Results
The spin magnetization comes out at 0.19 μB/f.u. The formation energy is -234.4 meV/atom. For the density, the calculation gives 10.22 g/cm³. The calculation puts the calculated volume at 19.74 A^3/atom.


Entry 2:
## PaAl2Pd3 (PBE)

Data for crystalline PaAl2Pd3 at its relaxed geometry.

Structure (POSCAR):
```
PaAl2Pd3
1.0
3.9844 0.0000 0.0000
0.0000 4.8246 -2.7855
0.0000 0.0000 5.5710
Pd Al Pa
3 2 1
direct
0.5000 0.5000 0.0000
0.5000 0.0000 0.5000
0.5000 0.5000 0.5000
0.0000 0.6667 0.3333
0.0000 0.3333 0.6667
0.0000 0.0000 0.0000
```

Results
The spin magnetization comes out at 1.42 μB/f.u. The formation energy is -602.3 meV/atom. The energy above the most stable polymorph in this dataset comes out at 118 meV/atom. For the density, the calculation gives 9.37 g/cm³. The calculation puts the calculated volume at 17.85 A^3/atom.


Entry 3:
## PaAlPd (PBE)

Data for crystalline PaAlPd at its relaxed geometry.

Structure (POSCAR):
```
PaAlPd
1.0
-0.0153 -4.5155 0.8694
3.9714 -2.3016 0.2765
1.4729 -1.5636 4.0659
Pd Pa Al
1 1 1
direct
0.2500 0.2500 0.2500
0.5000 0.5000 0.5000
0.0000 0.0000 0.0000
```

Results
The spin magnetization comes out at 0.00 μB/f.u. The formation energy is -349.8 meV/atom. For the density, the calculation gives 8.80 g/cm³. The calculation puts the calculated volume at 22.92 A^3/atom.


Entry 4:
## PaAl8Pd4 (PBE)

Data for crystalline PaAl8Pd4 at its relaxed geometry.

Structure (POSCAR):
```
PaAl8Pd4
1.0
5.0198 0.0000 2.0177
2.5099 6.2829 1.0089
0.1667 0.0000 6.8384
Al Pd Pa
8 4 1
direct
0.6526 0.3474 0.3474
0.7189 0.7811 0.7811
0.3474 0.6526 0.6526
0.0000 0.6526 0.3474
0.5000 0.7811 0.2189
0.0000 0.3474 0.6526
0.2811 0.2189 0.2189
0.5000 0.2189 0.7811
0.5000 0.5000 0.0000
0.0000 0.0000 0.5000
0.0000 0.5000 0.0000
0.5000 0.0000 0.5000
0.0000 0.0000 0.0000
```

Results
The spin magnetization comes out at 0.64 μB/f.u. The formation energy is -619.3 meV/atom. For the density, the calculation gives 6.78 g/cm³. The calculation puts the calculated volume at 16.43 A^3/atom.